{"formula": "Co2ReNi", "functional": "PBE-GGA", "state": "optimized geometry", "e_form_mev_per_atom": 79, "lattice": [[-3.113, -0.682, -3.072], [-2.935, -2.849, -1.689], [-3.574, 1.173, 2.297]], "species": ["Co", "Co", "Ni", "Re"], "fractional_positions": [[0.747, 0.747, 0.752], [0.004, 0.004, 0.996], [0.498, 0.498, 0.505], [0.251, 0.251, 0.247]]}